DFT (PBE+U) results for NaFeGeO4 after structural relaxation. Values from VASP.

Energy (eV/atom): -5.95
Space-group type: I-4 (82)

Quantum ESPRESSO input file:
```
&SYSTEM
  ibrav = 0, nat = 7, ntyp = 4
/
ATOMIC_SPECIES
O 16.00 O.upf
Fe 55.84 Fe.upf
Ge 72.64 Ge.upf
Na 22.99 Na.upf
ATOMIC_POSITIONS crystal
O 0.181 0.116 0.651
O 0.884 0.530 0.349
O 0.470 0.536 0.651
O 0.464 0.819 0.349
Fe 0.250 0.750 0.500
Ge 0.500 0.500 0.000
Na 0.000 0.000 0.000
CELL_PARAMETERS angstrom
-1.028 5.477 0.732
-5.453 -1.126 0.765
3.726 -2.486 2.254
```